(1)
# Y8Er4Mg

A relaxed structure of Y8Er4Mg (PBE, the Alexandria database).

```
Y8Er4Mg
1.0
6.2864 -0.0004 -3.3915
-4.0579 5.8784 -0.0005
1.4482 1.0005 10.2061
Y Er Mg
8 4 1
Cartesian
0.9447 4.9921 1.7504
2.7320 1.8864 5.0637
2.5868 1.7858 1.2304
6.2038 1.9995 3.9769
1.0899 5.0926 5.5837
4.0686 5.0924 3.9767
-0.3919 1.7860 2.8375
-2.5271 4.8790 2.8372
0.0000 0.0000 0.0000
-2.0290 2.9392 -0.0002
1.1143 2.9390 -1.6960
3.1432 -0.0002 -1.6958
-1.3049 3.4394 5.1028
```

Output
- total moment (μB/f.u.) = 0.00
- ΔH_f (0 K) (meV/atom) = 188.2
- N(E_F) (states/eV per cell) = 18.9
- crystal system = trigonal

***

(2)
# Nd6Au2C

A relaxed structure of Nd6Au2C (PBE, the Alexandria database).

```
Nd6Au2C
1.0
6.8219 0.0000 -0.0360
0.0000 7.4087 0.0000
0.2802 0.0000 10.1864
Nd Au C
12 4 2
Cartesian
0.8560 0.2077 2.6524
1.3623 2.2049 5.6290
1.5954 2.3434 9.6253
2.2359 6.0477 5.6362
2.4690 5.9093 9.6326
2.6951 3.9120 2.4228
6.2461 7.2010 7.4979
5.7398 5.2038 4.5214
5.5067 5.0653 0.5250
4.8663 1.3610 4.5141
4.6331 1.4994 0.5178
4.4070 3.4967 7.7276
0.5301 4.3558 7.6507
3.3011 0.6514 7.6108
3.8010 6.7573 2.5395
6.5720 3.0529 2.4996
3.4109 3.7043 -0.0180
0.1401 0.0000 5.0932
```

Output
- total moment (μB/f.u.) = 0.00
- ΔH_f (0 K) (meV/atom) = -397.6
- N(E_F) (states/eV per cell) = 18.4
- crystal system = monoclinic